No. 1
First-principles (PBE-GGA) data for BeVFe after structural relaxation, as listed in Alexandria via LeMat-Bulk.

a b c (Å): 4.727 4.727 4.727
angles (deg): 125.72 125.72 80.35
Sites, in units of the cell vectors:
Be (0.000, 0.000, 0.000)
Be (0.750, 0.250, 0.500)
V (0.428, 0.928, 0.500)
V (0.678, 0.678, 0.000)
Fe (0.036, 0.536, 0.500)
Fe (0.286, 0.286, 0.000)

- relative energy among the computed polymorphs (kcal/mol of atoms) = 11.60
- DOS(E_F) (states/eV/cell) = 4.5
- calculated total energy (eV/atom) = -6.742
- SG = I4_1md (109)
- energy relative to the elements (eV per atom) = 0.36
- volume (Å³ per cell) = 67



No. 2
First-principles (PBE-GGA) data for BeV3Fe after structural relaxation, as listed in Alexandria via LeMat-Bulk.

a b c (Å): 4.248 4.248 4.248
angles (deg): 90.00 90.00 90.00
Sites, in units of the cell vectors:
Be (0.000, 0.000, 0.000)
V (0.000, 0.500, 0.500)
V (0.500, 0.000, 0.500)
V (0.500, 0.500, 0.000)
Fe (0.500, 0.500, 0.500)

- relative energy among the computed polymorphs (kcal/mol of atoms) = 3.68
- DOS(E_F) (states/eV/cell) = 5.6
- calculated total energy (eV/atom) = -6.992
- SG = Pm-3m (221)
- energy relative to the elements (eV per atom) = 0.92
- volume (Å³ per cell) = 77



No. 3
First-principles (PBE-GGA) data for Be2VFe5W2 after structural relaxation, as listed in Alexandria via LeMat-Bulk.

a b c (Å): 8.727 8.727 2.875
angles (deg): 90.00 90.00 90.00
Sites, in units of the cell vectors:
Be (0.122, 0.378, 0.000)
Be (0.378, 0.878, 0.000)
Be (0.622, 0.122, 0.000)
Be (0.878, 0.622, 0.000)
V (0.000, 0.000, 0.000)
V (0.500, 0.500, 0.000)
Fe (0.000, 0.500, 0.500)
Fe (0.067, 0.209, 0.500)
Fe (0.209, 0.933, 0.500)
Fe (0.291, 0.433, 0.500)
Fe (0.433, 0.709, 0.500)
Fe (0.500, 0.000, 0.500)
Fe (0.567, 0.291, 0.500)
Fe (0.709, 0.567, 0.500)
Fe (0.791, 0.067, 0.500)
Fe (0.933, 0.791, 0.500)
W (0.175, 0.675, 0.000)
W (0.325, 0.175, 0.000)
W (0.675, 0.825, 0.000)
W (0.825, 0.325, 0.000)

- DOS(E_F) (states/eV/cell) = 7.6
- calculated total energy (eV/atom) = -8.599
- SG = P4/mbm (127)
- energy relative to the elements (eV per atom) = -0.12
- volume (Å³ per cell) = 219



No. 4
First-principles (PBE-GGA) data for BeVZnFe2 after structural relaxation, as listed in Alexandria via LeMat-Bulk.

a b c (Å): 4.144 4.144 4.687
angles (deg): 90.00 90.00 90.00
Sites, in units of the cell vectors:
Be (0.000, 0.000, 0.000)
V (0.500, 0.500, 0.500)
Zn (0.500, 0.500, 0.000)
Fe (0.000, 0.500, 0.500)
Fe (0.500, 0.000, 0.500)

- DOS(E_F) (states/eV/cell) = 5.3
- calculated total energy (eV/atom) = -4.857
- SG = P4/mmm (123)
- energy relative to the elements (eV per atom) = 1.35
- volume (Å³ per cell) = 80



No. 5
First-principles (PBE-GGA) data for Be2FeW after structural relaxation, as listed in Alexandria via LeMat-Bulk.

a b c (Å): 3.631 3.631 3.379
angles (deg): 90.00 90.00 90.00
Sites, in units of the cell vectors:
Be (0.000, 0.500, 0.000)
Be (0.500, 0.000, 0.000)
Fe (0.000, 0.000, 0.500)
W (0.500, 0.500, 0.500)

- relative energy among the computed polymorphs (kcal/mol of atoms) = 3.11
- DOS(E_F) (states/eV/cell) = 2.0
- calculated total energy (eV/atom) = -7.132
- SG = P4/mmm (123)
- energy relative to the elements (eV per atom) = 0.09
- volume (Å³ per cell) = 45



No. 6
First-principles (PBE-GGA) data for Be2FeW after structural relaxation, as listed in Alexandria via LeMat-Bulk.

a b c (Å): 3.900 3.900 3.900
angles (deg): 60.00 60.00 60.00
Sites, in units of the cell vectors:
Be (0.250, 0.250, 0.250)
Be (0.750, 0.750, 0.750)
Fe (0.000, 0.000, 0.000)
W (0.500, 0.500, 0.500)

- relative energy among the computed polymorphs (kcal/mol of atoms) = 5.57
- DOS(E_F) (states/eV/cell) = 4.4
- calculated total energy (eV/atom) = -7.025
- SG = Fm-3m (225)
- energy relative to the elements (eV per atom) = 0.19
- volume (Å³ per cell) = 42



No. 7
First-principles (PBE-GGA) data for BeFe2W2 after structural relaxation, as listed in Alexandria via LeMat-Bulk.

a b c (Å): 5.400 5.400 5.400
angles (deg): 135.83 135.83 64.25
Sites, in units of the cell vectors:
Be (0.000, 0.000, 0.000)
Fe (0.385, 0.385, 0.000)
Fe (0.615, 0.615, 0.000)
W (0.250, 0.750, 0.500)
W (0.750, 0.250, 0.500)

- relative energy among the computed polymorphs (kcal/mol of atoms) = 7.39
- DOS(E_F) (states/eV/cell) = 1.8
- calculated total energy (eV/atom) = -8.658
- SG = I4/mmm (139)
- energy relative to the elements (eV per atom) = 0.65
- volume (Å³ per cell) = 75



No. 8
First-principles (PBE-GGA) data for Be2FeW after structural relaxation, as listed in Alexandria via LeMat-Bulk.

a b c (Å): 4.143 4.143 2.605
angles (deg): 90.15 90.15 96.37
Sites, in units of the cell vectors:
Be (0.000, 0.500, 0.000)
Be (0.500, 0.000, 0.000)
Fe (0.000, 0.000, 0.500)
W (0.500, 0.500, 0.500)

- relative energy among the computed polymorphs (kcal/mol of atoms) = 4.42
- DOS(E_F) (states/eV/cell) = 2.2
- calculated total energy (eV/atom) = -7.075
- SG = C2/m (12)
- energy relative to the elements (eV per atom) = 0.14
- volume (Å³ per cell) = 44



No. 9
First-principles (PBE-GGA) data for BeFe2W after structural relaxation, as listed in Alexandria via LeMat-Bulk.

a b c (Å): 4.436 4.436 4.436
angles (deg): 137.24 127.84 69.66
Sites, in units of the cell vectors:
Be (0.000, 0.000, 0.000)
Fe (0.242, 0.742, 0.500)
Fe (0.758, 0.258, 0.500)
W (0.500, 0.500, 0.000)

- DOS(E_F) (states/eV/cell) = 2.3
- calculated total energy (eV/atom) = -8.373
- SG = Immm (71)
- energy relative to the elements (eV per atom) = 0.03
- volume (Å³ per cell) = 46



No. 10
First-principles (PBE-GGA) data for BeFe2W after structural relaxation, as listed in Alexandria via LeMat-Bulk.

a b c (Å): 2.542 3.967 4.801
angles (deg): 90.00 100.95 90.00
Sites, in units of the cell vectors:
Be (0.000, 0.000, 0.000)
Fe (0.252, 0.500, 0.769)
Fe (0.748, 0.500, 0.231)
W (0.500, 0.000, 0.500)

- DOS(E_F) (states/eV/cell) = 3.3
- calculated total energy (eV/atom) = -8.284
- SG = P2/m (10)
- energy relative to the elements (eV per atom) = 0.12
- volume (Å³ per cell) = 48



No. 11
First-principles (PBE-GGA) data for BeFe2W after structural relaxation, as listed in Alexandria via LeMat-Bulk.

a b c (Å): 2.632 3.418 5.133
angles (deg): 90.00 90.00 90.00
Sites, in units of the cell vectors:
Be (0.000, 0.000, 0.000)
Fe (0.000, 0.000, 0.455)
Fe (0.500, 0.500, 0.194)
W (0.500, 0.500, 0.719)

- DOS(E_F) (states/eV/cell) = 2.8
- calculated total energy (eV/atom) = -8.272
- SG = Pmm2 (25)
- energy relative to the elements (eV per atom) = 0.13
- volume (Å³ per cell) = 46



No. 12
First-principles (PBE-GGA) data for BeFe2W2 after structural relaxation, as listed in Alexandria via LeMat-Bulk.

a b c (Å): 6.810 6.810 2.852
angles (deg): 90.00 90.00 90.00
Sites, in units of the cell vectors:
Be (0.000, 0.000, 0.000)
Be (0.500, 0.500, 0.000)
Fe (0.130, 0.370, 0.000)
Fe (0.370, 0.870, 0.000)
Fe (0.630, 0.130, 0.000)
Fe (0.870, 0.630, 0.000)
W (0.171, 0.671, 0.500)
W (0.329, 0.171, 0.500)
W (0.671, 0.829, 0.500)
W (0.829, 0.329, 0.500)

- relative energy among the computed polymorphs (kcal/mol of atoms) = 0.00
- DOS(E_F) (states/eV/cell) = 5.1
- calculated total energy (eV/atom) = -8.978
- SG = P4/mbm (127)
- energy relative to the elements (eV per atom) = 0.33
- volume (Å³ per cell) = 132